# 1
This record from Alexandria via LeMat-Bulk describes ErBeRh3 after structural relaxation. The functional is PBE-GGA. Values from VASP.

Calculated total energy   -6.665 eV per atom
Theoretical density   10.6 g cm⁻³
E_form   -0.5959 eV/atom
Fermi-level density of states   3.135 states/eV/f.u.

Geometry as Quantum ESPRESSO input:
```
&SYSTEM
  ibrav = 0, nat = 5, ntyp = 3
/
ATOMIC_SPECIES
Be 9.01 Be.upf
Rh 102.91 Rh.upf
Er 167.26 Er.upf
CELL_PARAMETERS angstrom
-4.044 -1.201 -0.415
1.222 -3.296 -2.369
0.349 -2.380 3.491
ATOMIC_POSITIONS crystal
Be 0.000 0.000 0.000
Rh 0.000 0.500 0.000
Rh 0.000 0.000 0.500
Rh 0.500 0.000 0.000
Er 0.500 0.500 0.500
```



# 2
This record from Alexandria via LeMat-Bulk describes Er2BeRh2 after structural relaxation. The functional is PBE-GGA. Values from VASP.

Calculated total energy   -6.270 eV per atom
Theoretical density   9.9 g cm⁻³
Polymorph energy (0 for the lowest one)   0.00 eV/f.u.
E_form   -0.7589 eV/atom
Fermi-level density of states   2.560 states/eV/f.u.

Geometry as Quantum ESPRESSO input:
```
&SYSTEM
  ibrav = 0, nat = 10, ntyp = 3
/
ATOMIC_SPECIES
Er 167.26 Er.upf
Be 9.01 Be.upf
Rh 102.91 Rh.upf
CELL_PARAMETERS angstrom
5.729 0.386 0.005
2.933 4.936 0.005
1.288 0.792 6.819
ATOMIC_POSITIONS crystal
Er 0.485 0.222 0.148
Er 0.778 0.515 0.352
Er 0.515 0.778 0.852
Er 0.222 0.485 0.648
Be 0.105 0.895 0.250
Be 0.895 0.105 0.750
Rh 0.745 0.000 0.510
Rh 0.000 0.255 0.990
Rh 0.255 0.000 0.490
Rh 0.000 0.745 0.010
```



# 3
This record from Alexandria via LeMat-Bulk describes ErBe2SiRh after structural relaxation. The functional is PBE-GGA. Values from VASP.

Calculated total energy   -5.522 eV per atom
Theoretical density   7.2 g cm⁻³
Fermi-level density of states   2.238 states/eV/f.u.
Formation energy from raw total energies   -0.564 eV per atom

Geometry as Quantum ESPRESSO input:
```
&SYSTEM
  ibrav = 0, nat = 5, ntyp = 4
/
ATOMIC_SPECIES
Er 167.26 Er.upf
Be 9.01 Be.upf
Si 28.09 Si.upf
Rh 102.91 Rh.upf
CELL_PARAMETERS angstrom
3.878 0.000 0.000
0.000 3.815 0.000
-1.939 -1.908 4.903
ATOMIC_POSITIONS crystal
Er 0.444 0.444 0.887
Be 0.691 0.191 0.382
Be 0.063 0.063 0.125
Si 0.827 0.827 0.654
Rh 0.188 0.688 0.376
```



# 4
This record from Alexandria via LeMat-Bulk describes Er2Be2SiRh5 after structural relaxation. The functional is PBE-GGA. Values from VASP.

Calculated total energy   -6.759 eV per atom
Theoretical density   10.3 g cm⁻³
Fermi-level density of states   3.010 states/eV/f.u.
Formation energy from raw total energies   -0.883 eV per atom

Geometry as Quantum ESPRESSO input:
```
&SYSTEM
  ibrav = 0, nat = 20, ntyp = 4
/
ATOMIC_SPECIES
Er 167.26 Er.upf
Be 9.01 Be.upf
Si 28.09 Si.upf
Rh 102.91 Rh.upf
CELL_PARAMETERS angstrom
3.129 0.000 0.000
0.000 9.596 0.000
0.000 0.000 9.596
ATOMIC_POSITIONS crystal
Er 0.000 0.676 0.176
Er 0.000 0.324 0.824
Er 0.000 0.176 0.324
Er 0.000 0.824 0.676
Be 0.000 0.123 0.623
Be 0.000 0.877 0.377
Be 0.000 0.623 0.877
Be 0.000 0.377 0.123
Si 0.000 0.000 0.000
Si 0.000 0.500 0.500
Rh 0.500 0.205 0.065
Rh 0.500 0.795 0.935
Rh 0.500 0.065 0.795
Rh 0.500 0.705 0.435
Rh 0.500 0.935 0.205
Rh 0.500 0.295 0.565
Rh 0.500 0.565 0.705
Rh 0.500 0.435 0.295
Rh 0.500 0.500 0.000
Rh 0.500 0.000 0.500
```



# 5
This record from Alexandria via LeMat-Bulk describes TbErBeRh after structural relaxation. The functional is PBE-GGA. Values from VASP.

Calculated total energy   -5.452 eV per atom
Theoretical density   9.1 g cm⁻³
E_form   -0.3840 eV/atom
Fermi-level density of states   1.821 states/eV/f.u.

Geometry as Quantum ESPRESSO input:
```
&SYSTEM
  ibrav = 0, nat = 4, ntyp = 4
/
ATOMIC_SPECIES
Rh 102.91 Rh.upf
Tb 158.93 Tb.upf
Be 9.01 Be.upf
Er 167.26 Er.upf
CELL_PARAMETERS angstrom
-0.185 1.739 4.508
-4.223 1.441 1.864
-2.105 -2.584 3.504
ATOMIC_POSITIONS crystal
Rh 0.000 0.000 0.000
Tb 0.750 0.750 0.750
Be 0.500 0.500 0.500
Er 0.250 0.250 0.250
```



# 6
This record from Alexandria via LeMat-Bulk describes ErTmBeRh after structural relaxation. The functional is PBE-GGA. Values from VASP.

Calculated total energy   -5.454 eV per atom
Theoretical density   9.6 g cm⁻³
E_form   -0.4257 eV/atom
Fermi-level density of states   1.759 states/eV/f.u.

Geometry as Quantum ESPRESSO input:
```
&SYSTEM
  ibrav = 0, nat = 4, ntyp = 4
/
ATOMIC_SPECIES
Be 9.01 Be.upf
Tm 168.93 Tm.upf
Rh 102.91 Rh.upf
Er 167.26 Er.upf
CELL_PARAMETERS angstrom
4.787 0.000 0.000
2.393 4.146 0.000
2.393 1.382 3.908
ATOMIC_POSITIONS crystal
Be 0.000 0.000 0.000
Tm 0.750 0.750 0.750
Rh 0.500 0.500 0.500
Er 0.250 0.250 0.250
```



# 7
This record from Alexandria via LeMat-Bulk describes Er2Be2ZnRh5 after structural relaxation. The functional is PBE-GGA. Values from VASP.

Calculated total energy   -6.222 eV per atom
Theoretical density   10.5 g cm⁻³
E_form   -0.7608 eV/atom
Fermi-level density of states   5.009 states/eV/f.u.

Geometry as Quantum ESPRESSO input:
```
&SYSTEM
  ibrav = 0, nat = 20, ntyp = 4
/
ATOMIC_SPECIES
Er 167.26 Er.upf
Be 9.01 Be.upf
Zn 65.41 Zn.upf
Rh 102.91 Rh.upf
CELL_PARAMETERS angstrom
-2.852 -0.424 -1.426
-0.651 -8.730 3.898
-4.385 3.745 7.654
ATOMIC_POSITIONS crystal
Er 0.000 0.676 0.176
Er 0.000 0.324 0.824
Er 0.000 0.176 0.324
Er 0.000 0.824 0.676
Be 0.000 0.123 0.623
Be 0.000 0.877 0.377
Be 0.000 0.623 0.877
Be 0.000 0.377 0.123
Zn 0.000 0.000 0.000
Zn 0.000 0.500 0.500
Rh 0.500 0.212 0.068
Rh 0.500 0.788 0.932
Rh 0.500 0.068 0.788
Rh 0.500 0.712 0.432
Rh 0.500 0.932 0.212
Rh 0.500 0.288 0.568
Rh 0.500 0.568 0.712
Rh 0.500 0.432 0.288
Rh 0.500 0.500 0.000
Rh 0.500 0.000 0.500
```



# 8
This record from Alexandria via LeMat-Bulk describes Er2BeZnRh2 after structural relaxation. The functional is PBE-GGA. Values from VASP.

Calculated total energy   -5.460 eV per atom
Theoretical density   9.6 g cm⁻³
E_form   -0.6554 eV/atom
Fermi-level density of states   2.640 states/eV/f.u.

Geometry as Quantum ESPRESSO input:
```
&SYSTEM
  ibrav = 0, nat = 12, ntyp = 4
/
ATOMIC_SPECIES
Er 167.26 Er.upf
Be 9.01 Be.upf
Zn 65.41 Zn.upf
Rh 102.91 Rh.upf
CELL_PARAMETERS angstrom
5.559 0.000 0.000
0.000 5.699 0.000
-2.779 -2.850 6.742
ATOMIC_POSITIONS crystal
Er 0.670 0.944 0.339
Er 0.170 0.395 0.339
Er 0.830 0.605 0.661
Er 0.330 0.056 0.661
Be 0.750 0.500 0.000
Be 0.250 0.500 0.000
Zn 0.250 0.000 0.000
Zn 0.750 0.000 0.000
Rh 0.388 0.590 0.776
Rh 0.612 0.410 0.224
Rh 0.112 0.814 0.224
Rh 0.888 0.186 0.776
```



# 9
This record from Alexandria via LeMat-Bulk describes Er2BeRu after structural relaxation. The functional is PBE-GGA. Values from VASP.

Calculated total energy   -5.732 eV per atom
Theoretical density   9.6 g cm⁻³
E_form   -0.2004 eV/atom
Fermi-level density of states   3.371 states/eV/f.u.

Geometry as Quantum ESPRESSO input:
```
&SYSTEM
  ibrav = 0, nat = 4, ntyp = 3
/
ATOMIC_SPECIES
Ru 101.07 Ru.upf
Be 9.01 Be.upf
Er 167.26 Er.upf
CELL_PARAMETERS angstrom
3.408 0.000 0.000
0.000 3.408 0.000
0.000 0.000 6.656
ATOMIC_POSITIONS crystal
Ru 0.500 0.500 0.000
Be 0.500 0.500 0.500
Er 0.000 0.000 0.753
Er 0.000 0.000 0.247
```



# 10
This record from Alexandria via LeMat-Bulk describes ErBe4Ru after structural relaxation. The functional is PBE-GGA. Values from VASP.

Calculated total energy   -5.008 eV per atom
Theoretical density   7.1 g cm⁻³
E_form   -0.2174 eV/atom
Fermi-level density of states   5.351 states/eV/f.u.

Geometry as Quantum ESPRESSO input:
```
&SYSTEM
  ibrav = 0, nat = 6, ntyp = 3
/
ATOMIC_SPECIES
Ru 101.07 Ru.upf
Be 9.01 Be.upf
Er 167.26 Er.upf
CELL_PARAMETERS angstrom
4.652 0.000 0.000
2.326 4.029 0.000
2.326 1.343 3.798
ATOMIC_POSITIONS crystal
Ru 0.000 0.000 0.000
Be 0.628 0.628 0.115
Be 0.628 0.115 0.628
Be 0.628 0.628 0.628
Be 0.115 0.628 0.628
Er 0.250 0.250 0.250
```



# 11
This record from Alexandria via LeMat-Bulk describes Er2BeSi2Ru5 after structural relaxation. The functional is PBE-GGA. Values from VASP.

Calculated total energy   -7.528 eV per atom
Theoretical density   9.8 g cm⁻³
Fermi-level density of states   10.990 states/eV/f.u.
Formation energy from raw total energies   -0.521 eV per atom

Geometry as Quantum ESPRESSO input:
```
&SYSTEM
  ibrav = 0, nat = 20, ntyp = 4
/
ATOMIC_SPECIES
Er 167.26 Er.upf
Be 9.01 Be.upf
Si 28.09 Si.upf
Ru 101.07 Ru.upf
CELL_PARAMETERS angstrom
3.200 0.000 0.000
0.000 9.780 0.000
0.000 0.000 9.780
ATOMIC_POSITIONS crystal
Er 0.000 0.671 0.171
Er 0.000 0.329 0.829
Er 0.000 0.171 0.329
Er 0.000 0.829 0.671
Be 0.000 0.000 0.000
Be 0.000 0.500 0.500
Si 0.000 0.132 0.632
Si 0.000 0.868 0.368
Si 0.000 0.632 0.868
Si 0.000 0.368 0.132
Ru 0.500 0.197 0.063
Ru 0.500 0.803 0.937
Ru 0.500 0.063 0.803
Ru 0.500 0.697 0.437
Ru 0.500 0.937 0.197
Ru 0.500 0.303 0.563
Ru 0.500 0.563 0.697
Ru 0.500 0.437 0.303
Ru 0.500 0.500 0.000
Ru 0.500 0.000 0.500
```



# 12
This record from Alexandria via LeMat-Bulk describes Er2Be4Si3Ru after structural relaxation. The functional is PBE-GGA. Values from VASP.

Calculated total energy   -5.419 eV per atom
Theoretical density   6.5 g cm⁻³
Fermi-level density of states   3.331 states/eV/f.u.
Formation energy from raw total energies   -0.462 eV per atom

Geometry as Quantum ESPRESSO input:
```
&SYSTEM
  ibrav = 0, nat = 10, ntyp = 4
/
ATOMIC_SPECIES
Er 167.26 Er.upf
Be 9.01 Be.upf
Si 28.09 Si.upf
Ru 101.07 Ru.upf
CELL_PARAMETERS angstrom
3.775 0.000 0.000
0.000 3.775 0.000
0.000 0.000 9.906
ATOMIC_POSITIONS crystal
Er 0.500 0.000 0.247
Er 0.000 0.500 0.753
Be 0.500 0.500 0.000
Be 0.000 0.000 0.000
Be 0.500 0.000 0.637
Be 0.000 0.500 0.363
Si 0.000 0.000 0.500
Si 0.500 0.000 0.867
Si 0.000 0.500 0.133
Ru 0.500 0.500 0.500
```